CrSnO2 | PBE+U | relaxed

abc: 3.0581 3.9458 9.8124
angles: 87.02 88.82 89.94
Closest atoms and distances in Å follow each position.
Space group P-1 (No. 2)
Unique sites:
Cr 0.2441 0.2370 0.0904 (multiplicity 2)  6 O 2.01-2.06
Sn 0.2706 0.2214 0.6330 (multiplicity 2)  1 O 2.15
O 0.2467 0.7429 0.0498 (multiplicity 2)  4 Cr 2.01-2.06
O 0.2649 0.7843 0.7736 (multiplicity 2)  2 Cr 2.03, 1 Sn 2.15

Values from the calculation:
Calculated volume ... 118 Å³ per cell
E above lowest polymorph ... 63 meV per atom
Calculated total energy ... -54.464 eV per cell
Magnetic moment ... 3.0 μB/f.u.
Mass density ... 5.7 g/cm3